Ti4NbPt2 (GGA-PBE, relaxed); density of states at the Fermi level = 9.939 states/eV/f.u.; raw total energy = -7.34 eV/atom; symmetry = I4/mmm, No. 139; formation energy = 0.3387 eV per atom
1.0
-2.315 2.315 6.518
2.315 -2.315 6.518
2.315 2.315 -6.518
Ti Nb Pt
4 1 2
Direct
0.000 0.500 0.500
0.197 0.197 0.000
0.500 0.000 0.500
0.803 0.803 0.000
0.000 0.000 0.000
0.385 0.385 0.000
0.615 0.615 0.000